# AcBeCrO4 (PBE with a Hubbard U, optimized geometry)
data_AcBeCrO4
_chemical_formula_sum 'Ac2 Be2 Cr2 O8'
_cell_length_a 6.713
_cell_length_b 6.713
_cell_length_c 6.713
_cell_angle_alpha 126.29
_cell_angle_beta 102.97
_cell_angle_gamma 100.58
_symmetry_space_group_name_H-M 'P 1'
_symmetry_Int_Tables_number 1
loop_
_symmetry_equiv_pos_as_xyz
'x,y,z'
loop_
_atom_site_label
_atom_site_fract_x
_atom_site_fract_y
_atom_site_fract_z
Ac1 0.000 0.000 0.000
Ac2 0.500 0.000 0.500
Be1 0.295 0.545 0.750
Be2 0.705 0.455 0.250
Cr1 0.500 0.000 0.000
Cr2 0.500 0.500 0.500
O1 0.259 0.259 0.500
O2 0.259 0.759 0.000
O3 0.317 0.720 0.596
O4 0.376 0.280 0.096
O5 0.624 0.720 0.904
O6 0.683 0.280 0.404
O7 0.741 0.241 0.000
O8 0.741 0.741 0.500
# total energy	-7.4987	eV/atom
# SG	No. 74
# calculated volume	217.5	Å³ per cell
# DOS at the Fermi energy	0.000	states/eV/atom